# VGaAs2O8, relaxed, DFT PBE+U
# Space group = No. 164
# DOS(E_F) = 6.40 states/eV/cell
# E = -6.20 eV/atom
data_VGaAs2O8
_chemical_formula_sum 'V1 Ga1 As2 O8'
_space_group_name_H-M_alt 'P 1'
_space_group_IT_number 1
_space_group_name_Hall 'P 1'
_cell_length_a 5.4398
_cell_length_b 5.4398
_cell_length_c 5.7994
_cell_angle_alpha 90.00
_cell_angle_beta 90.00
_cell_angle_gamma 120.00
loop_
_atom_site_label
_atom_site_fract_x
_atom_site_fract_y
_atom_site_fract_z
_atom_site_occupancy
V1 0.0000 0.0000 0.0000 1
Ga1 0.0000 0.0000 0.5000 1
As1 0.3333 0.6667 0.8227 1
As2 0.6667 0.3333 0.1773 1
O1 0.1555 0.3110 0.7330 1
O2 0.1555 0.8445 0.7330 1
O3 0.3110 0.1555 0.2670 1
O4 0.3333 0.6667 0.1068 1
O5 0.6667 0.3333 0.8932 1
O6 0.6890 0.8445 0.7330 1
O7 0.8445 0.1555 0.2670 1
O8 0.8445 0.6890 0.2670 1